1.
This record from Alexandria via LeMat-Bulk describes crystalline PuTlRe2O8 at its relaxed geometry. The functional is PBE.

abc: 8.790 8.790 8.790
angles: 37.80 37.80 37.80
Fractional coordinates of all 12 atoms:
Pu: 0.000 0.000 0.000
Tl: 0.500 0.500 0.500
Re: 0.253 0.253 0.253
Re: 0.747 0.747 0.747
O: 0.005 0.755 0.407
O: 0.181 0.181 0.181
O: 0.245 0.593 0.995
O: 0.407 0.005 0.755
O: 0.593 0.995 0.245
O: 0.755 0.407 0.005
O: 0.819 0.819 0.819
O: 0.995 0.245 0.593

Properties
The calculation puts the size of the total moment at 7.0 μB/f.u. The electronic total energy comes out at -8.488 eV/atom.


2.
This record from Alexandria via LeMat-Bulk describes crystalline KY3Sn at its relaxed geometry. The functional is PBE.

abc: 5.923 5.923 5.923
angles: 90.00 90.00 90.00
Fractional coordinates of all 5 atoms:
K: 0.000 0.000 0.000
Y: 0.000 0.500 0.500
Y: 0.500 0.000 0.500
Y: 0.500 0.500 0.000
Sn: 0.500 0.500 0.500

Properties
The energy of formation comes out at 1.264 eV/f.u. The offset from the most stable computed form comes out at 0.000 eV/atom. The calculation puts the size of the total moment at 2.1 μB/f.u. The electronic total energy comes out at -4.646 eV/atom.


3.
This record from Alexandria via LeMat-Bulk describes crystalline Li3SiW at its relaxed geometry. The functional is PBE.

abc: 4.883 4.883 4.883
angles: 90.00 90.00 90.00
Fractional coordinates of all 5 atoms:
Li: 0.000 0.000 0.500
Li: 0.000 0.500 0.000
Li: 0.500 0.000 0.000
Si: 0.500 0.500 0.500
W: 0.000 0.000 0.000

Properties
The offset from the most stable computed form comes out at 0.425 eV/atom. The calculation puts the size of the total moment at 4.0 μB/f.u. The electronic total energy comes out at -3.145 eV/atom.


4.
This record from Alexandria via LeMat-Bulk describes crystalline Sb3IrN at its relaxed geometry. The functional is PBE.

abc: 4.586 4.586 4.586
angles: 90.00 90.00 90.00
Fractional coordinates of all 5 atoms:
Sb: 0.000 0.000 0.500
Sb: 0.000 0.500 0.000
Sb: 0.500 0.000 0.000
Ir: 0.500 0.500 0.500
N: 0.000 0.000 0.000

Properties
The offset from the most stable computed form comes out at 0.000 eV/atom. The calculation puts the size of the total moment at 0.0 μB/f.u. The electronic total energy comes out at -5.159 eV/atom.


5.
This record from Alexandria via LeMat-Bulk describes crystalline PdSe2O8 at its relaxed geometry. The functional is PBE.

abc: 5.486 5.486 6.710
angles: 90.00 90.00 120.00
Fractional coordinates of all 11 atoms:
Pd: 0.000 0.000 0.000
Se: 0.333 0.667 0.736
Se: 0.667 0.333 0.264
O: 0.158 0.317 0.795
O: 0.158 0.842 0.795
O: 0.317 0.158 0.205
O: 0.333 0.667 0.493
O: 0.667 0.333 0.507
O: 0.683 0.842 0.795
O: 0.842 0.158 0.205
O: 0.842 0.683 0.205

Properties
The offset from the most stable computed form comes out at 0.000 eV/atom. The calculation puts the size of the total moment at 0.0 μB/f.u. The electronic total energy comes out at -4.956 eV/atom.


6.
This record from Alexandria via LeMat-Bulk describes crystalline IrOs2Au at its relaxed geometry. The functional is PBE.

abc: 5.990 5.990 5.990
angles: 153.71 136.33 51.69
Fractional coordinates of all 4 atoms:
Ir: 0.000 0.000 0.000
Os: 0.232 0.732 0.500
Os: 0.428 0.428 0.000
Au: 0.670 0.170 0.500

Properties
The energy of formation comes out at 2.253 eV/f.u. The offset from the most stable computed form comes out at 0.308 eV/atom. The calculation puts the size of the total moment at 0.0 μB/f.u. The electronic total energy comes out at -8.086 eV/atom.


7.
This record from Alexandria via LeMat-Bulk describes crystalline ScAl2Ag at its relaxed geometry. The functional is PBE.

abc: 9.457 9.457 9.457
angles: 18.53 18.53 18.53
Fractional coordinates of all 4 atoms:
Sc: 0.000 0.000 0.000
Al: 0.246 0.246 0.246
Al: 0.754 0.754 0.754
Ag: 0.500 0.500 0.500

Properties
The energy of formation comes out at -0.386 eV/f.u. The calculation puts the size of the total moment at 0.0 μB/f.u. The electronic total energy comes out at -4.263 eV/atom.


8.
This record from Alexandria via LeMat-Bulk describes crystalline TbPmAg2 at its relaxed geometry. The functional is PBE.

abc: 3.670 3.670 7.459
angles: 90.00 90.00 90.00
Fractional coordinates of all 4 atoms:
Tb: 0.000 0.000 0.000
Pm: 0.000 0.000 0.500
Ag: 0.500 0.500 0.237
Ag: 0.500 0.500 0.763

Properties
The energy of formation comes out at -1.180 eV/f.u. The offset from the most stable computed form comes out at 0.000 eV/atom. The calculation puts the size of the total moment at 0.0 μB/f.u. The electronic total energy comes out at -4.066 eV/atom.


9.
This record from Alexandria via LeMat-Bulk describes crystalline YRh2Au2 at its relaxed geometry. The functional is PBE.

abc: 7.144 7.144 7.144
angles: 148.89 148.89 44.57
Fractional coordinates of all 5 atoms:
Y: 0.000 0.000 0.000
Rh: 0.250 0.750 0.500
Rh: 0.750 0.250 0.500
Au: 0.398 0.398 0.000
Au: 0.602 0.602 0.000

Properties
The energy of formation comes out at -1.298 eV/f.u. The offset from the most stable computed form comes out at 0.054 eV/atom. The calculation puts the size of the total moment at 0.0 μB/f.u. The electronic total energy comes out at -5.804 eV/atom.


10.
This record from Alexandria via LeMat-Bulk describes crystalline CeHoSc2 at its relaxed geometry. The functional is PBE.

abc: 3.442 3.442 9.183
angles: 90.00 90.00 90.00
Fractional coordinates of all 4 atoms:
Ce: 0.000 0.000 0.000
Ho: 0.000 0.000 0.500
Sc: 0.500 0.500 0.244
Sc: 0.500 0.500 0.756

Properties
The energy of formation comes out at 0.286 eV/f.u. The offset from the most stable computed form comes out at 0.006 eV/atom. The calculation puts the size of the total moment at 0.5 μB/f.u. The electronic total energy comes out at -5.722 eV/atom.


11.
This record from Alexandria via LeMat-Bulk describes crystalline TmTh3Mn at its relaxed geometry. The functional is PBE.

abc: 5.306 5.306 5.306
angles: 90.00 90.00 90.00
Fractional coordinates of all 5 atoms:
Tm: 0.000 0.000 0.000
Th: 0.000 0.500 0.500
Th: 0.500 0.000 0.500
Th: 0.500 0.500 0.000
Mn: 0.500 0.500 0.500

Properties
The energy of formation comes out at 0.727 eV/f.u. The calculation puts the size of the total moment at 0.0 μB/f.u. The electronic total energy comes out at -7.035 eV/atom.


12.
This record from Alexandria via LeMat-Bulk describes crystalline Ag3SnS4 at its relaxed geometry. The functional is PBE.

abc: 7.114 7.114 7.114
angles: 131.92 131.92 70.35
Fractional coordinates of all 8 atoms:
Ag: 0.000 0.000 0.000
Ag: 0.250 0.750 0.500
Ag: 0.750 0.250 0.500
Sn: 0.500 0.500 0.000
S: 0.134 0.134 0.514
S: 0.379 0.866 0.000
S: 0.621 0.621 0.486
S: 0.866 0.379 0.000

Properties
The calculation puts the size of the total moment at 0.0 μB/f.u. The electronic total energy comes out at -3.796 eV/atom.


13.
This record from Alexandria via LeMat-Bulk describes crystalline Pm2Dy2YTm2 at its relaxed geometry. The functional is PBE.

abc: 8.769 8.769 8.769
angles: 37.76 37.76 37.76
Fractional coordinates of all 7 atoms:
Pm: 0.139 0.139 0.139
Pm: 0.861 0.861 0.861
Dy: 0.284 0.284 0.284
Dy: 0.716 0.716 0.716
Y: 0.000 0.000 0.000
Tm: 0.427 0.427 0.427
Tm: 0.573 0.573 0.573

Properties
The energy of formation comes out at 0.977 eV/f.u. The calculation puts the size of the total moment at 0.0 μB/f.u. The electronic total energy comes out at -4.734 eV/atom.


14.
This record from Alexandria via LeMat-Bulk describes crystalline AcSiHg at its relaxed geometry. The functional is PBE.

abc: 8.645 8.645 4.041
angles: 103.42 103.42 33.06
Fractional coordinates of all 6 atoms:
Ac: 0.108 0.108 0.358
Ac: 0.892 0.892 0.642
Si: 0.460 0.460 0.210
Si: 0.540 0.540 0.790
Hg: 0.293 0.293 0.050
Hg: 0.707 0.707 0.950

Properties
The offset from the most stable computed form comes out at 0.000 eV/atom. The calculation puts the size of the total moment at 0.0 μB/f.u. The electronic total energy comes out at -3.803 eV/atom.


15.
This record from Alexandria via LeMat-Bulk describes crystalline BeFeIr2 at its relaxed geometry. The functional is PBE.

abc: 2.653 2.653 8.273
angles: 90.00 90.00 117.42
Fractional coordinates of all 4 atoms:
Be: 0.000 0.000 0.000
Fe: 0.500 0.500 0.225
Ir: 0.000 0.000 0.484
Ir: 0.500 0.500 0.781

Properties
The energy of formation comes out at 0.396 eV/f.u. The calculation puts the size of the total moment at 3.1 μB/f.u. The electronic total energy comes out at -7.379 eV/atom.


16.
This record from Alexandria via LeMat-Bulk describes crystalline LiZn2PbS at its relaxed geometry. The functional is PBE.

abc: 5.271 5.271 5.627
angles: 90.00 90.00 90.00
Fractional coordinates of all 5 atoms:
Li: 0.000 0.000 0.000
Zn: 0.000 0.500 0.500
Zn: 0.500 0.000 0.500
Pb: 0.500 0.500 0.500
S: 0.500 0.500 0.000

Properties
The calculation puts the size of the total moment at 0.0 μB/f.u. The electronic total energy comes out at -2.132 eV/atom.


17.
This record from Alexandria via LeMat-Bulk describes crystalline YCuTc2 at its relaxed geometry. The functional is PBE.

abc: 3.269 4.764 4.545
angles: 90.00 97.93 90.00
Fractional coordinates of all 4 atoms:
Y: 0.000 0.000 0.000
Cu: 0.500 0.000 0.500
Tc: 0.333 0.500 0.738
Tc: 0.667 0.500 0.262

Properties
The energy of formation comes out at 1.095 eV/f.u. The offset from the most stable computed form comes out at 0.251 eV/atom. The calculation puts the size of the total moment at 0.0 μB/f.u. The electronic total energy comes out at -7.549 eV/atom.


18.
This record from Alexandria via LeMat-Bulk describes crystalline Ba8In2Rh at its relaxed geometry. The functional is PBE.

abc: 10.860 10.860 8.024
angles: 107.57 107.57 32.71
Fractional coordinates of all 11 atoms:
Ba: 0.023 0.023 0.294
Ba: 0.211 0.211 0.788
Ba: 0.352 0.352 0.554
Ba: 0.407 0.407 0.097
Ba: 0.593 0.593 0.903
Ba: 0.648 0.648 0.446
Ba: 0.789 0.789 0.212
Ba: 0.977 0.977 0.706
In: 0.181 0.181 0.206
In: 0.819 0.819 0.794
Rh: 0.500 0.500 0.500

Properties
The energy of formation comes out at -2.045 eV/f.u. The offset from the most stable computed form comes out at 0.013 eV/atom. The calculation puts the size of the total moment at 0.0 μB/f.u. The electronic total energy comes out at -2.750 eV/atom.


19.
This record from Alexandria via LeMat-Bulk describes crystalline CsY2W at its relaxed geometry. The functional is PBE.

abc: 5.398 5.398 5.398
angles: 60.00 60.00 60.00
Fractional coordinates of all 4 atoms:
Cs: 0.000 0.000 0.000
Y: 0.250 0.250 0.250
Y: 0.750 0.750 0.750
W: 0.500 0.500 0.500

Properties
The energy of formation comes out at 4.858 eV/f.u. The calculation puts the size of the total moment at 0.0 μB/f.u. The electronic total energy comes out at -5.469 eV/atom.


20.
This record from Alexandria via LeMat-Bulk describes crystalline La2TbErTm2 at its relaxed geometry. The functional is PBE.

abc: 7.057 5.678 9.819
angles: 90.00 90.00 90.00
Fractional coordinates of all 12 atoms:
La: 0.000 0.000 0.000
La: 0.250 0.500 0.180
La: 0.500 0.000 0.000
La: 0.750 0.500 0.820
Tb: 0.250 0.000 0.658
Tb: 0.750 0.000 0.342
Er: 0.000 0.500 0.500
Er: 0.500 0.500 0.500
Tm: 0.250 0.000 0.335
Tm: 0.250 0.500 0.834
Tm: 0.750 0.000 0.665
Tm: 0.750 0.500 0.166

Properties
The energy of formation comes out at 0.431 eV/f.u. The calculation puts the size of the total moment at 0.0 μB/f.u. The electronic total energy comes out at -4.593 eV/atom.